# Ac3Zn3Ir

Crystalline Ac3Zn3Ir at its relaxed geometry (GGA-PBE, Alexandria via LeMat-Bulk).

Cell: 4.2069 6.2173 15.7845 Å, 82.60 82.34 70.23°
Atoms (fractional coordinates):
Ir (0.2153, 0.9422, 0.6271)
Ir (0.7847, 0.0578, 0.3729)
Zn (0.0970, 0.8851, 0.9208)
Zn (0.1828, 0.1695, 0.4649)
Zn (0.8172, 0.8305, 0.5351)
Zn (0.0230, 0.1862, 0.7679)
Zn (0.9770, 0.8138, 0.2321)
Zn (0.9030, 0.1149, 0.0792)
Ac (0.7364, 0.7694, 0.7577)
Ac (0.4805, 0.6497, 0.3893)
Ac (0.3821, 0.3131, 0.9227)
Ac (0.2636, 0.2306, 0.2423)
Ac (0.5195, 0.3503, 0.6107)
Ac (0.6179, 0.6869, 0.0773)

Computed properties:
Density of states at the Fermi level = 0.84 states/eV per atom
Energy of formation = -369 meV/atom

---

# Ac2Zn15Ir2

Crystalline Ac2Zn15Ir2 at its relaxed geometry (GGA-PBE, Alexandria via LeMat-Bulk).

Cell: 6.9626 6.9626 6.9626 Å, 82.69 82.69 82.69°
Atoms (fractional coordinates):
Zn (0.8519, 0.3413, 0.3413)
Zn (0.3413, 0.8519, 0.3413)
Zn (0.2738, 0.0000, 0.7262)
Zn (0.0000, 0.2738, 0.7262)
Zn (0.7262, 0.0000, 0.2738)
Zn (0.5000, 0.0000, 0.0000)
Zn (0.6587, 0.1481, 0.6587)
Zn (0.6587, 0.6587, 0.1481)
Zn (0.0000, 0.5000, 0.0000)
Zn (0.0000, 0.7262, 0.2738)
Zn (0.3413, 0.3413, 0.8519)
Zn (0.7262, 0.2738, 0.0000)
Zn (0.1481, 0.6587, 0.6587)
Zn (0.0000, 0.0000, 0.5000)
Zn (0.2738, 0.7262, 0.0000)
Ir (0.8913, 0.8913, 0.8913)
Ir (0.1087, 0.1087, 0.1087)
Ac (0.6610, 0.6610, 0.6610)
Ac (0.3390, 0.3390, 0.3390)

Computed properties:
Density of states at the Fermi level = 0.50 states/eV per atom
Energy of formation = -239 meV/atom

---

# Ac8Zn2Ir

Crystalline Ac8Zn2Ir at its relaxed geometry (GGA-PBE, Alexandria via LeMat-Bulk).

Cell: 5.4943 7.3897 10.2111 Å, 99.73 105.61 90.00°
Atoms (fractional coordinates):
Ac (0.4112, 0.5668, 0.8223)
Ac (0.7934, 0.6750, 0.5868)
Ac (0.5888, 0.4332, 0.1777)
Ac (0.6526, 0.9640, 0.3051)
Ac (0.2066, 0.3250, 0.4132)
Ac (0.0266, 0.7831, 0.0531)
Ac (0.3474, 0.0360, 0.6949)
Ac (0.9734, 0.2169, 0.9469)
Zn (0.1924, 0.7486, 0.3848)
Zn (0.8076, 0.2514, 0.6152)
Ir (0.5000, 0.0000, 0.0000)

Computed properties:
Density of states at the Fermi level = 1.00 states/eV per atom
Relative energy among the computed polymorphs = 45.5 meV per atom
Energy of formation = -156 meV/atom

---

# Ac3Zn7Ir4

Crystalline Ac3Zn7Ir4 at its relaxed geometry (GGA-PBE, Alexandria via LeMat-Bulk).

Cell: 4.3166 8.4231 8.6687 Å, 72.26 75.58 75.15°
Atoms (fractional coordinates):
Ir (0.3338, 0.5595, 0.7729)
Ir (0.8980, 0.8946, 0.3093)
Ir (0.1020, 0.1054, 0.6907)
Ir (0.6662, 0.4405, 0.2271)
Ac (0.6943, 0.8197, 0.7918)
Ac (0.3057, 0.1803, 0.2082)
Ac (0.0000, 0.5000, 0.5000)
Zn (0.8398, 0.4004, 0.9199)
Zn (0.3246, 0.8391, 0.5118)
Zn (0.1602, 0.5996, 0.0801)
Zn (0.5126, 0.7597, 0.2151)
Zn (0.0000, 0.0000, 0.0000)
Zn (0.6754, 0.1609, 0.4882)
Zn (0.4874, 0.2403, 0.7849)

Computed properties:
Density of states at the Fermi level = 0.46 states/eV per atom
Energy of formation = -419 meV/atom